[1]
VASP calculation (PBE-GGA) on crystalline ErScTlPt at its relaxed geometry.

Unit cell a=4.995 b=4.995 c=4.995 alpha=60.00 beta=60.00 gamma=60.00
Element x y z (fractional)
Er 0.000 0.000 0.000
Pt 0.250 0.250 0.250
Tl 0.750 0.750 0.750
Sc 0.500 0.500 0.500

Output
Its total energy is -5.50 eV per atom. The calculation puts the energy relative to the elements at -0.678 eV/atom. The volume is 88.1 Å³/cell.

=====

[2]
VASP calculation (PBE-GGA) on crystalline Er6PtSe5 at its relaxed geometry.

Unit cell a=7.070 b=7.070 c=7.039 alpha=99.70 beta=99.70 gamma=120.00
Element x y z (fractional)
Se 0.176 0.824 0.500
Er 0.762 0.762 0.243
Se 0.824 0.176 0.500
Er 0.397 0.078 0.238
Er 0.238 0.238 0.757
Se 0.665 0.335 0.000
Se 0.335 0.665 0.000
Er 0.078 0.397 0.238
Er 0.603 0.922 0.762
Er 0.922 0.603 0.762
Se 0.500 0.500 0.500
Pt 0.000 0.000 0.000

Output
Its total energy is -5.90 eV per atom. Its raw formation energy is -1.666 eV per atom. The volume is 286.9 Å³/cell.

=====

[3]
VASP calculation (PBE-GGA) on crystalline ErPtSe at its relaxed geometry.

Unit cell a=4.262 b=4.319 c=12.020 alpha=82.63 beta=61.32 gamma=59.37
Element x y z (fractional)
Se 0.751 0.241 0.887
Pt 0.272 0.372 0.217
Se 0.711 0.531 0.546
Er 0.584 0.140 0.419
Er 0.222 0.961 0.015
Pt 0.598 0.708 0.217

Output
Its total energy is -5.91 eV per atom. Its raw formation energy is -1.210 eV per atom. The volume is 165.0 Å³/cell.

=====

[4]
VASP calculation (PBE-GGA) on crystalline Er3PtSe2 at its relaxed geometry.

Unit cell a=7.131 b=7.131 c=12.727 alpha=101.09 beta=101.09 gamma=108.25
Element x y z (fractional)
Er 0.485 0.985 0.500
Se 0.997 0.497 0.994
Er 0.930 0.911 0.326
Er 0.235 0.235 0.000
Se 0.420 0.420 0.840
Se 0.830 0.330 0.660
Se 0.503 0.003 0.006
Pt 0.167 0.667 0.333
Er 0.585 0.604 0.674
Er 0.320 0.839 0.174
Er 0.396 0.415 0.326
Pt 0.333 0.833 0.667
Er 0.854 0.335 0.174
Se 0.670 0.170 0.340
Er 0.765 0.765 0.000
Se 0.253 0.253 0.506
Er 0.089 0.070 0.674
Pt 0.083 0.083 0.167
Pt 0.917 0.917 0.833
Se 0.580 0.580 0.160
Er 0.161 0.680 0.826
Er 0.015 0.515 0.500
Se 0.747 0.747 0.494
Er 0.665 0.146 0.826

Output
Its total energy is -6.02 eV per atom. Its raw formation energy is -1.572 eV per atom. The volume is 580.6 Å³/cell.

=====

[5]
VASP calculation (PBE-GGA) on crystalline Er4PtSe5 at its relaxed geometry.

Unit cell a=4.047 b=8.278 c=9.048 alpha=105.29 beta=102.92 gamma=90.00
Element x y z (fractional)
Pt 0.500 0.000 0.000
Er 0.323 0.885 0.646
Er 0.997 0.739 0.994
Se 0.163 0.333 0.326
Se 0.838 0.140 0.677
Se 0.500 0.500 0.000
Er 0.677 0.115 0.354
Er 0.003 0.261 0.006
Se 0.837 0.667 0.674
Se 0.162 0.860 0.323

Output
Its total energy is -5.74 eV per atom. Its raw formation energy is -1.572 eV per atom. The volume is 284.4 Å³/cell.

=====

[6]
VASP calculation (PBE-GGA) on crystalline Er2PtSe at its relaxed geometry.

Unit cell a=4.012 b=4.012 c=7.417 alpha=74.31 beta=74.31 gamma=60.00
Element x y z (fractional)
Se 0.499 0.499 0.502
Er 0.260 0.260 0.221
Er 0.074 0.074 0.777
Pt 0.667 0.667 0.999

Output
Its total energy is -6.11 eV per atom. Its raw formation energy is -1.449 eV per atom. The volume is 98.2 Å³/cell.